Cs3Er2PaTe6: optimized geometry, PBE.

Geometry as POSCAR:
```
Cs3Er2PaTe6
1.0
3.9185 -6.7868 0.0000
3.9185 6.7868 0.0000
-2.6135 0.0000 8.9617
Cs Er Pa Te
3 2 1 6
Direct
0.0000 0.0000 0.0000 Cs
0.3340 0.6660 0.0000 Cs
0.6660 0.3340 0.0000 Cs
0.1667 0.8333 0.5000 Er
0.8333 0.1667 0.5000 Er
0.5000 0.5000 0.5000 Pa
0.0996 0.4364 0.3093 Te
0.2266 0.2266 0.6905 Te
0.4364 0.0996 0.3093 Te
0.5636 0.9004 0.6907 Te
0.7734 0.7734 0.3095 Te
0.9004 0.5636 0.6907 Te
```

The density of states at the Fermi level is 8.043 states/eV/cell. Its formation energy from raw total energies is -1.196 eV/atom. For the total magnetization, the calculation gives 0.15 μB/atom.

***

Cs3ErPa3Te8: optimized geometry, PBE.

Geometry as POSCAR:
```
Cs3ErPa3Te8
1.0
4.4184 2.5510 9.2715
-4.4184 2.5510 9.2715
0.0000 -5.1019 9.2715
Cs Er Pa Te
3 1 3 8
Direct
0.0000 0.5000 0.5000 Cs
0.5000 0.0000 0.5000 Cs
0.5000 0.5000 0.0000 Cs
0.5000 0.5000 0.5000 Er
0.0000 0.0000 0.5000 Pa
0.0000 0.5000 0.0000 Pa
0.5000 0.0000 0.0000 Pa
0.2321 0.2321 0.2321 Te
0.2321 0.7298 0.7298 Te
0.2702 0.2702 0.7679 Te
0.2702 0.7679 0.2702 Te
0.7298 0.2321 0.7298 Te
0.7298 0.7298 0.2321 Te
0.7679 0.2702 0.2702 Te
0.7679 0.7679 0.7679 Te
```

The density of states at the Fermi level is 20.915 states/eV/cell. Its formation energy from raw total energies is -1.029 eV/atom. For the total magnetization, the calculation gives 0.33 μB/atom.

***

Q: What is the formation energy from raw total energies in the first record?
A: -1.196 eV/atom

***

Please write out number 1 again, unchanged.
Cs3Er2PaTe6: optimized geometry, PBE.

Geometry as POSCAR:
```
Cs3Er2PaTe6
1.0
3.9185 -6.7868 0.0000
3.9185 6.7868 0.0000
-2.6135 0.0000 8.9617
Cs Er Pa Te
3 2 1 6
Direct
0.0000 0.0000 0.0000 Cs
0.3340 0.6660 0.0000 Cs
0.6660 0.3340 0.0000 Cs
0.1667 0.8333 0.5000 Er
0.8333 0.1667 0.5000 Er
0.5000 0.5000 0.5000 Pa
0.0996 0.4364 0.3093 Te
0.2266 0.2266 0.6905 Te
0.4364 0.0996 0.3093 Te
0.5636 0.9004 0.6907 Te
0.7734 0.7734 0.3095 Te
0.9004 0.5636 0.6907 Te
```

The density of states at the Fermi level is 8.043 states/eV/cell. Its formation energy from raw total energies is -1.196 eV/atom. For the total magnetization, the calculation gives 0.15 μB/atom.